Record 1
Below is an optimized crystal structure of YTeW2, with properties calculated at the PBEsol level.

Calculated values
Formation energy (no corrections)   0.477 eV/atom
Calculated volume   19.66 Å³ per atom

Cell lengths 3.9383, 3.9383, 5.7836 Å; angles 109.91, 109.91, 90.00 degrees
Atoms (fractional coordinates):
Te  0.0000  0.0000  0.0000
W  0.7500  0.2500  0.5000
W  0.2500  0.7500  0.5000
Y  0.5000  0.5000  0.0000

***

Record 2
Below is an optimized crystal structure of ZnTe2W, with properties calculated at the PBEsol level.

Calculated values
Formation energy (no corrections)   0.320 eV/atom
Calculated volume   21.34 Å³ per atom

Cell lengths 3.2701, 3.2701, 7.9831 Å; angles 90.00, 90.00, 90.00 degrees
Atoms (fractional coordinates):
Te  0.0000  0.0000  0.7922
Te  0.0000  0.0000  0.2078
W  0.5000  0.5000  0.0000
Zn  0.5000  0.5000  0.5000

***

Record 3
Below is an optimized crystal structure of ZnTe2W, with properties calculated at the PBEsol level.

Calculated values
Formation energy (no corrections)   0.294 eV/atom
Calculated volume   20.90 Å³ per atom

Cell lengths 3.3749, 3.3749, 7.3402 Å; angles 90.00, 90.00, 90.00 degrees
Atoms (fractional coordinates):
Te  0.0000  0.0000  0.9229
Te  0.5000  0.5000  0.3275
W  0.0000  0.0000  0.5348
Zn  0.5000  0.5000  0.7148

***

Record 4
Below is an optimized crystal structure of ZnTe4W, with properties calculated at the PBEsol level.

Calculated values
Formation energy (no corrections)   1.372 eV/atom
Calculated volume   27.23 Å³ per atom

Cell lengths 6.1365, 6.1365, 6.1365 Å; angles 60.00, 60.00, 60.00 degrees
Last column: magnetic moment on the atom in μB.
Atoms (fractional coordinates):
Te  0.3756  0.3756  0.3756  -0.04
Te  0.3756  0.3756  0.8732  -0.04
Te  0.8732  0.3756  0.3756  -0.04
Te  0.3756  0.8732  0.3756  -0.04
W  0.7500  0.7500  0.7500  2.92
Zn  0.0000  0.0000  0.0000  -0.03

***

Record 5
Below is an optimized crystal structure of ZnTeW2, with properties calculated at the PBEsol level.

Calculated values
Formation energy (no corrections)   0.903 eV/atom
Calculated volume   16.80 Å³ per atom
Polymorph energy (0 for the lowest one)   304.4 meV per atom

Cell lengths 3.9360, 3.9360, 5.1530 Å; angles 112.45, 112.45, 90.00 degrees
Atoms (fractional coordinates):
Te  0.0000  0.0000  0.0000
W  0.7500  0.2500  0.5000
W  0.2500  0.7500  0.5000
Zn  0.5000  0.5000  0.0000

***

Record 6
Below is an optimized crystal structure of ZnTeW2, with properties calculated at the PBEsol level.

Calculated values
Formation energy (no corrections)   0.599 eV/atom
Calculated volume   17.09 Å³ per atom
Polymorph energy (0 for the lowest one)   0.0 meV per atom

Cell lengths 3.2374, 4.6934, 4.8178 Å; angles 97.13, 109.63, 90.00 degrees
Atoms (fractional coordinates):
Te  0.0000  0.5000  0.0000
W  0.2468  0.2183  0.4936
W  0.7532  0.7817  0.5064
Zn  0.5000  0.0000  0.0000

***

Record 7
Below is an optimized crystal structure of ZnTe2W, with properties calculated at the PBEsol level.

Calculated values
Formation energy (no corrections)   0.967 eV/atom
Calculated volume   22.54 Å³ per atom

Cell lengths 3.4395, 3.4395, 9.0209 Å; angles 79.01, 79.01, 60.00 degrees
Atoms (fractional coordinates):
Zn  0.5000  0.5000  0.5000
Te  0.9028  0.9028  0.2915
Te  0.0972  0.0972  0.7085
W  0.0000  0.0000  0.0000

***

Record 8
Below is an optimized crystal structure of ZnTeW2, with properties calculated at the PBEsol level.

Calculated values
Formation energy (no corrections)   0.721 eV/atom
Calculated volume   16.52 Å³ per atom
Polymorph energy (0 for the lowest one)   122.4 meV per atom

Cell lengths 4.0467, 4.0467, 4.9461 Å; angles 114.15, 114.15, 90.00 degrees
Atoms (fractional coordinates):
Te  0.2500  0.7500  0.5000
W  0.0000  0.0000  0.0000
W  0.7500  0.2500  0.5000
Zn  0.5000  0.5000  0.0000

***

Record 9
Below is an optimized crystal structure of ZnTeW2, with properties calculated at the PBEsol level.

Calculated values
Formation energy (no corrections)   0.640 eV/atom
Calculated volume   17.79 Å³ per atom
Polymorph energy (0 for the lowest one)   41.3 meV per atom

Cell lengths 3.0887, 4.6479, 5.1327 Å; angles 90.00, 104.98, 90.00 degrees
Atoms (fractional coordinates):
Te  0.0036  0.5000  0.7494
W  0.0777  0.0000  0.0643
W  0.6805  0.5000  0.1863
Zn  0.7382  0.0000  0.5000

***

Record 10
Below is an optimized crystal structure of ZnTeW2, with properties calculated at the PBEsol level.

Calculated values
Formation energy (no corrections)   0.703 eV/atom
Calculated volume   16.93 Å³ per atom
Polymorph energy (0 for the lowest one)   103.5 meV per atom

Cell lengths 4.5754, 4.5754, 4.5754 Å; angles 60.00, 60.00, 60.00 degrees
Atoms (fractional coordinates):
Te  0.5000  0.5000  0.5000
W  0.0000  0.0000  0.0000
W  0.7500  0.7500  0.7500
Zn  0.2500  0.2500  0.2500

***

Record 11
Below is an optimized crystal structure of ZrTeW2, with properties calculated at the PBEsol level.

Calculated values
Formation energy (no corrections)   0.330 eV/atom
Calculated volume   18.26 Å³ per atom
Polymorph energy (0 for the lowest one)   32.0 meV per atom

Cell lengths 3.8856, 3.8856, 5.5640 Å; angles 110.44, 110.44, 90.00 degrees
Atoms (fractional coordinates):
Te  0.0000  0.0000  0.0000
W  0.7500  0.2500  0.5000
W  0.2500  0.7500  0.5000
Zr  0.5000  0.5000  0.0000

***

Record 12
Below is an optimized crystal structure of ZrTeW2, with properties calculated at the PBEsol level.

Calculated values
Formation energy (no corrections)   0.298 eV/atom
Calculated volume   18.02 Å³ per atom
Polymorph energy (0 for the lowest one)   0.0 meV per atom

Cell lengths 3.4233, 4.6264, 5.3850 Å; angles 115.44, 108.53, 90.00 degrees
Atoms (fractional coordinates):
Te  0.2597  0.7597  0.5194
W  0.0081  0.0081  0.0163
W  0.7364  0.2364  0.4728
Zr  0.4958  0.4958  0.9915

***

Record 13
Below is an optimized crystal structure of ZrTeW2, with properties calculated at the PBEsol level.

Calculated values
Formation energy (no corrections)   0.366 eV/atom
Calculated volume   18.62 Å³ per atom
Polymorph energy (0 for the lowest one)   68.2 meV per atom

Cell lengths 2.9983, 4.9014, 5.0692 Å; angles 90.00, 90.71, 90.00 degrees
Atoms (fractional coordinates):
Te  0.0000  0.5000  0.0000
W  0.8547  0.0000  0.7398
W  0.1453  0.0000  0.2602
Zr  0.5000  0.5000  0.5000

***

Record 14
Below is an optimized crystal structure of Y4Te3, with properties calculated at the PBEsol level.

Calculated values
Formation energy (no corrections)   -1.055 eV/atom
Calculated volume   27.47 Å³ per atom

Cell lengths 4.0517, 4.0517, 12.0595 Å; angles 99.67, 99.67, 90.00 degrees
Atoms (fractional coordinates):
Te  0.0000  0.0000  0.0000
Te  0.3012  0.3012  0.6024
Te  0.6988  0.6988  0.3976
Y  0.1593  0.1593  0.3186
Y  0.8407  0.8407  0.6814
Y  0.4309  0.4309  0.8618
Y  0.5691  0.5691  0.1382